Record 1
# NdHo3Pt

NdHo3Pt after structural relaxation (PBE-GGA, the Alexandria database).

Unit cell a=5.468 b=5.468 c=5.468 alpha=90.00 beta=90.00 gamma=90.00
Fractional positions:
1 Nd 0.000 0.000 0.000
2 Ho 0.000 0.500 0.500
3 Ho 0.500 0.000 0.500
4 Ho 0.500 0.500 0.000
5 Pt 0.500 0.500 0.500

Computed properties:
Space-group type: No. 221
Energy relative to the elements (kJ/mol of formula units): -187

=====

Record 2
# NdHo2Pt2

NdHo2Pt2 after structural relaxation (PBE-GGA, the Alexandria database).

Unit cell a=5.463 b=4.646 c=10.454 alpha=90.00 beta=97.16 gamma=90.00
Fractional positions:
1 Nd 0.075 0.250 0.281
2 Nd 0.925 0.750 0.719
3 Ho 0.272 0.750 0.029
4 Ho 0.376 0.250 0.614
5 Ho 0.624 0.750 0.386
6 Ho 0.728 0.250 0.971
7 Pt 0.160 0.750 0.473
8 Pt 0.202 0.250 0.868
9 Pt 0.798 0.750 0.132
10 Pt 0.840 0.250 0.527

Computed properties:
Space-group type: No. 11
Energy relative to the elements (kJ/mol of formula units): -492

=====

Record 3
# Nd2HoPt

Nd2HoPt after structural relaxation (PBE-GGA, the Alexandria database).

Unit cell a=3.781 b=3.781 c=32.134 alpha=90.00 beta=90.00 gamma=120.00
Fractional positions:
1 Nd 0.000 0.000 0.108
2 Nd 0.000 0.000 0.892
3 Nd 0.333 0.667 0.558
4 Nd 0.333 0.667 0.775
5 Nd 0.667 0.333 0.225
6 Nd 0.667 0.333 0.442
7 Ho 0.000 0.000 0.000
8 Ho 0.333 0.667 0.667
9 Ho 0.667 0.333 0.333
10 Pt 0.000 0.000 0.500
11 Pt 0.333 0.667 0.167
12 Pt 0.667 0.333 0.833

Computed properties:
Space-group type: No. 166
Energy relative to the elements (kJ/mol of formula units): -83

=====

Record 4
# Nd3Ho4Pt4

Nd3Ho4Pt4 after structural relaxation (PBE-GGA, the Alexandria database).

Unit cell a=9.020 b=9.020 c=9.020 alpha=150.41 beta=128.65 gamma=60.39
Fractional positions:
1 Nd 0.000 0.000 0.000
2 Nd 0.398 0.898 0.500
3 Nd 0.602 0.102 0.500
4 Ho 0.039 0.328 0.711
5 Ho 0.382 0.672 0.711
6 Ho 0.618 0.328 0.289
7 Ho 0.961 0.672 0.289
8 Pt 0.209 0.209 0.000
9 Pt 0.313 0.500 0.813
10 Pt 0.687 0.500 0.187
11 Pt 0.791 0.791 0.000

Computed properties:
Space-group type: No. 71
Energy relative to the elements (kJ/mol of formula units): -952

=====

Record 5
# Nd2Ho3Pt4

Nd2Ho3Pt4 after structural relaxation (PBE-GGA, the Alexandria database).

Unit cell a=7.629 b=7.664 c=7.822 alpha=90.00 beta=109.38 gamma=90.00
Fractional positions:
1 Nd 0.197 0.177 0.082
2 Nd 0.197 0.323 0.582
3 Nd 0.803 0.677 0.418
4 Nd 0.803 0.823 0.918
5 Ho 0.245 0.664 0.248
6 Ho 0.245 0.836 0.748
7 Ho 0.500 0.000 0.500
8 Ho 0.500 0.500 0.000
9 Ho 0.755 0.164 0.252
10 Ho 0.755 0.336 0.752
11 Pt 0.091 0.539 0.863
12 Pt 0.091 0.961 0.363
13 Pt 0.498 0.134 0.872
14 Pt 0.498 0.366 0.372
15 Pt 0.502 0.634 0.628
16 Pt 0.502 0.866 0.128
17 Pt 0.909 0.039 0.637
18 Pt 0.909 0.461 0.137

Computed properties:
Space-group type: No. 14
Energy relative to the elements (kJ/mol of formula units): -1005

=====

Record 6
# Nd2HoPt

Nd2HoPt after structural relaxation (PBE-GGA, the Alexandria database).

Unit cell a=6.768 b=6.584 c=11.508 alpha=90.00 beta=90.00 gamma=90.00
Fractional positions:
1 Nd 0.086 0.235 0.086
2 Nd 0.086 0.265 0.414
3 Nd 0.414 0.735 0.414
4 Nd 0.414 0.765 0.086
5 Nd 0.586 0.235 0.914
6 Nd 0.586 0.265 0.586
7 Nd 0.914 0.735 0.586
8 Nd 0.914 0.765 0.914
9 Ho 0.056 0.250 0.750
10 Ho 0.444 0.750 0.750
11 Ho 0.556 0.250 0.250
12 Ho 0.944 0.750 0.250
13 Pt 0.250 0.000 0.595
14 Pt 0.250 0.500 0.905
15 Pt 0.750 0.000 0.405
16 Pt 0.750 0.500 0.095

Computed properties:
Space-group type: No. 52
Energy relative to the elements (kJ/mol of formula units): -194

=====

Record 7
# Nd2Ho3Pt2

Nd2Ho3Pt2 after structural relaxation (PBE-GGA, the Alexandria database).

Unit cell a=12.519 b=3.770 c=9.132 alpha=90.00 beta=117.36 gamma=90.00
Fractional positions:
1 Nd 0.161 0.000 0.312
2 Nd 0.339 0.500 0.688
3 Nd 0.661 0.500 0.312
4 Nd 0.839 0.000 0.688
5 Ho 0.000 0.500 0.500
6 Ho 0.117 0.500 0.936
7 Ho 0.383 0.000 0.064
8 Ho 0.500 0.000 0.500
9 Ho 0.617 0.000 0.936
10 Ho 0.883 0.500 0.064
11 Pt 0.167 0.000 0.742
12 Pt 0.333 0.500 0.258
13 Pt 0.667 0.500 0.742
14 Pt 0.833 0.000 0.258

Computed properties:
Space-group type: No. 12
Energy relative to the elements (kJ/mol of formula units): -526

=====

Record 8
# Nd3HoPt8

Nd3HoPt8 after structural relaxation (PBE-GGA, the Alexandria database).

Unit cell a=9.522 b=9.522 c=9.522 alpha=33.54 beta=33.54 gamma=33.54
Fractional positions:
1 Nd 0.000 0.000 0.000
2 Nd 0.126 0.126 0.126
3 Nd 0.502 0.502 0.502
4 Ho 0.626 0.626 0.626
5 Pt 0.061 0.563 0.563
6 Pt 0.064 0.064 0.564
7 Pt 0.064 0.564 0.064
8 Pt 0.313 0.313 0.313
9 Pt 0.563 0.061 0.563
10 Pt 0.563 0.563 0.061
11 Pt 0.564 0.064 0.064
12 Pt 0.813 0.813 0.813

Computed properties:
Space-group type: No. 160
Energy relative to the elements (kJ/mol of formula units): -1245

=====

Values for calculated total energy, eV per atom, ordered as above
-5.30, -6.22, -5.25, -6.06, -6.43, -5.54, -5.83, -6.68